Entry 1:
Here is a relaxed RbTiP crystal from Alexandria via LeMat-Bulk. Energies are from PBE.

Summary:
SG = P4/nmm
volume = 202 Å³/cell
energy of formation = -656 meV/atom
total magnetic moment = 0.000 μB per atom
density of states at the Fermi level = 1.8 states/eV/f.u.

extended XYZ file:
```
6
Lattice="4.214 0.000 0.000 0.000 4.214 0.000 0.000 0.000 11.351" Properties=species:S:1:pos:R:3 pbc="T T T"
Rb 1.053 1.053 2.320
Rb 3.160 3.160 9.031
Ti 1.053 3.160 5.676
Ti 3.160 1.053 5.676
P 1.053 1.053 6.956
P 3.160 3.160 4.395
```

---

Entry 2:
Here is a relaxed TaInBr2 crystal from Alexandria via LeMat-Bulk. Energies are from PBE.

Summary:
SG = R-3m
polymorph energy (0 for the lowest one) = 109 meV per atom
volume = 291 Å³/cell
total magnetic moment = 0.000 μB per atom
density of states at the Fermi level = 1.9 states/eV/f.u.
raw formation energy = -0.1408 eV/atom

extended XYZ file:
```
12
Lattice="3.327 0.000 0.000 -1.664 2.881 0.000 0.000 0.000 30.321" Properties=species:S:1:pos:R:3 pbc="T T T"
Ta 0.000 0.000 0.000
Ta 0.000 1.921 20.214
Ta 1.664 0.960 10.107
In 0.000 0.000 15.160
In 0.000 1.921 5.053
In 1.664 0.960 25.267
Br 0.000 0.000 8.202
Br 0.000 0.000 22.118
Br 0.000 1.921 12.011
Br 0.000 1.921 28.416
Br 1.664 0.960 1.905
Br 1.664 0.960 18.309
```

---

Entry 3:
Here is a relaxed ErBi2P2Pt7 crystal from Alexandria via LeMat-Bulk. Energies are from PBE.

Summary:
SG = I4/mmm
volume = 239 Å³/cell
energy of formation = -681 meV/atom
total magnetic moment = 0.000 μB per atom
density of states at the Fermi level = 2.7 states/eV/f.u.

extended XYZ file:
```
12
Lattice="-2.008 2.008 14.803 2.008 -2.008 14.803 2.008 2.008 -14.803" Properties=species:S:1:pos:R:3 pbc="T T T"
Er 0.000 0.000 0.000
Bi 0.000 0.000 6.220
Bi 0.000 0.000 23.387
P 0.000 0.000 11.361
P 0.000 0.000 18.246
Pt 2.008 0.000 2.155
Pt 0.000 0.000 9.073
Pt 2.008 0.000 12.649
Pt 0.000 0.000 14.803
Pt 0.000 2.008 2.155
Pt 0.000 0.000 20.534
Pt 0.000 2.008 12.649
```

---

Entry 4:
Here is a relaxed Pm2TiGe4Ir3 crystal from Alexandria via LeMat-Bulk. Energies are from PBE.

Summary:
SG = P-4m2
volume = 189 Å³/cell
energy of formation = -743 meV/atom
total magnetic moment = 0.000 μB per atom
density of states at the Fermi level = 7.3 states/eV/f.u.

extended XYZ file:
```
10
Lattice="4.202 0.000 0.000 0.000 4.202 0.000 0.000 0.000 10.728" Properties=species:S:1:pos:R:3 pbc="T T T"
Pm 0.000 2.101 2.627
Pm 2.101 0.000 8.101
Ti 0.000 0.000 5.364
Ge 0.000 0.000 0.000
Ge 0.000 2.101 6.904
Ge 2.101 0.000 3.825
Ge 2.101 2.101 0.000
Ir 0.000 2.101 9.388
Ir 2.101 0.000 1.340
Ir 2.101 2.101 5.364
```

---

Entry 5:
Here is a relaxed Sm2Zn5Cu crystal from Alexandria via LeMat-Bulk. Energies are from PBE.

Summary:
SG = Cmcm
volume = 311 Å³/cell
energy of formation = -297 meV/atom
total magnetic moment = 0.000 μB per atom
density of states at the Fermi level = 4.0 states/eV/f.u.

extended XYZ file:
```
16
Lattice="2.166 -8.106 0.000 2.166 8.106 0.000 0.000 0.000 8.858" Properties=species:S:1:pos:R:3 pbc="T T T"
Sm 0.000 0.000 0.000
Sm 0.000 0.000 4.429
Sm 2.166 4.895 6.643
Sm 2.166 -4.895 2.214
Zn 2.166 5.074 0.942
Zn 2.166 5.074 3.487
Zn 2.166 2.397 0.216
Zn 2.166 2.397 4.213
Zn 2.166 1.576 6.643
Zn 2.166 -1.576 2.214
Zn 2.166 -2.397 4.645
Zn 2.166 -2.397 8.642
Zn 2.166 -5.074 5.371
Zn 2.166 -5.074 7.916
Cu 2.166 0.891 2.214
Cu 2.166 -0.891 6.643
```

---

Entry 6:
Here is a relaxed Li2HfBi crystal from Alexandria via LeMat-Bulk. Energies are from PBE.

Summary:
SG = I-42d
volume = 378 Å³/cell
energy of formation = 109 meV/atom
total magnetic moment = 0.000 μB per atom
density of states at the Fermi level = 2.1 states/eV/f.u.

extended XYZ file:
```
16
Lattice="4.168 0.000 0.000 0.000 4.168 0.000 0.000 0.000 21.765" Properties=species:S:1:pos:R:3 pbc="T T T"
Li 1.029 1.042 2.721
Li 1.042 3.112 8.162
Li 1.042 3.139 19.044
Li 1.055 1.042 13.603
Li 3.112 3.126 13.603
Li 3.126 1.029 19.044
Li 3.126 1.055 8.162
Li 3.139 3.126 2.721
Hf 0.000 0.000 0.000
Hf 0.000 2.084 5.441
Hf 2.084 0.000 16.324
Hf 2.084 2.084 10.883
Bi 0.000 0.000 10.883
Bi 0.000 2.084 16.324
Bi 2.084 0.000 5.441
Bi 2.084 2.084 0.000
```

---

Entry 7:
Here is a relaxed Tm4Ge3Pd crystal from Alexandria via LeMat-Bulk. Energies are from PBE.

Summary:
SG = Pmm2
volume = 177 Å³/cell
energy of formation = -855 meV/atom
total magnetic moment = 0.000 μB per atom
density of states at the Fermi level = 5.4 states/eV/f.u.

extended XYZ file:
```
8
Lattice="4.038 0.000 0.000 0.000 4.090 0.000 0.000 0.000 10.706" Properties=species:S:1:pos:R:3 pbc="T T T"
Tm 0.000 0.000 0.000
Tm 0.000 2.045 5.301
Tm 2.019 0.000 7.693
Tm 2.019 2.045 2.378
Ge 0.000 2.045 8.254
Ge 2.019 0.000 4.765
Ge 2.019 2.045 10.072
Pd 0.000 0.000 2.937
```

---

Entry 8:
Here is a relaxed Na2YTcO crystal from Alexandria via LeMat-Bulk. Energies are from PBE.

Summary:
SG = P4/mmm
volume = 94 Å³/cell
total magnetic moment = 0.000 μB per atom
density of states at the Fermi level = 3.1 states/eV/f.u.
raw formation energy = -0.0208 eV/atom

extended XYZ file:
```
5
Lattice="4.842 0.000 0.000 0.000 4.842 0.000 0.000 0.000 4.027" Properties=species:S:1:pos:R:3 pbc="T T T"
Na 0.000 2.421 0.000
Na 2.421 0.000 0.000
Y 0.000 0.000 2.014
Tc 2.421 2.421 2.014
O 2.421 2.421 0.000
```